# Ta5Rh, optimized geometry, DFT PBE
data_Ta5Rh
_chemical_formula_sum 'Ta20 Rh4'
_symmetry_space_group_name_H-M 'F -4 3 m'
_symmetry_Int_Tables_number 216
_symmetry_space_group_name_Hall 'F -4 2 3'
_cell_length_a 7.6195
_cell_length_b 7.6195
_cell_length_c 7.6195
_cell_angle_alpha 90.00
_cell_angle_beta 90.00
_cell_angle_gamma 90.00
loop_
_atom_site_label
_atom_site_fract_x
_atom_site_fract_y
_atom_site_fract_z
_atom_site_occupancy
Ta1 0.0000 0.0000 0.0000 1
Ta2 0.1258 0.1258 0.3742 1
Rh1 0.2500 0.2500 0.7500 1
# Formation energy   0.267 eV/atom
# Mass density   15.1 g/cm³
# Distance to the lowest polymorph of the same formula   0.495 eV per atom
# N(E_F)   26.99 states/eV/cell

---

# Cr2CuPb, optimized geometry, DFT PBE
data_Cr2CuPb
_chemical_formula_sum 'Cr8 Cu4 Pb4'
_symmetry_space_group_name_H-M 'I -4 2 d'
_symmetry_Int_Tables_number 122
_symmetry_space_group_name_Hall 'I -4 2bw'
_cell_length_a 3.7330
_cell_length_b 3.7330
_cell_length_c 19.0343
_cell_angle_alpha 90.00
_cell_angle_beta 90.00
_cell_angle_gamma 90.00
loop_
_atom_site_label
_atom_site_fract_x
_atom_site_fract_y
_atom_site_fract_z
_atom_site_occupancy
Cr1 0.1714 0.2500 0.1250 1
Cu1 0.0000 0.0000 0.0000 1
Pb1 0.0000 0.0000 0.5000 1
# Formation energy   0.937 eV/atom
# Mass density   9.4 g/cm³
# N(E_F)   18.85 states/eV/cell

---

# Mn5Cr2SiTc2, optimized geometry, DFT PBE
data_Mn5Cr2SiTc2
_chemical_formula_sum 'Mn10 Cr4 Si2 Tc4'
_symmetry_space_group_name_H-M 'P 4/m b m'
_symmetry_Int_Tables_number 127
_symmetry_space_group_name_Hall '-P 4 2ab'
_cell_length_a 9.2317
_cell_length_b 9.2317
_cell_length_c 2.8485
_cell_angle_alpha 90.00
_cell_angle_beta 90.00
_cell_angle_gamma 90.00
loop_
_atom_site_label
_atom_site_fract_x
_atom_site_fract_y
_atom_site_fract_z
_atom_site_occupancy
Mn1 0.0000 0.5000 0.0000 1
Mn2 0.0535 0.1940 0.0000 1
Cr1 0.1325 0.3675 0.5000 1
Si1 0.0000 0.0000 0.5000 1
Tc1 0.1779 0.6779 0.5000 1
# E_form (uncorrected)   177 meV per atom
# Mass density   8.2 g/cm³
# N(E_F)   19.48 states/eV/cell

---

# La2Nb2N5, optimized geometry, DFT PBE
data_La2Nb2N5
_chemical_formula_sum 'La4 Nb4 N10'
_symmetry_space_group_name_H-M 'C 1 2/m 1'
_symmetry_Int_Tables_number 12
_cell_length_a 11.5232
_cell_length_b 4.2964
_cell_length_c 5.8071
_cell_angle_alpha 90.00
_cell_angle_beta 111.66
_cell_angle_gamma 90.00
loop_
_symmetry_equiv_pos_as_xyz
'x,y,z'
'-x,-y,-z'
'-x,y,-z'
'x,-y,z'
'x+1/2,y+1/2,z'
'-x+1/2,-y+1/2,-z'
'-x+1/2,y+1/2,-z'
'x+1/2,-y+1/2,z'
loop_
_atom_site_label
_atom_site_fract_x
_atom_site_fract_y
_atom_site_fract_z
_atom_site_occupancy
La1 0.1054 0.0000 0.3302 1
Nb1 0.1567 0.5000 0.8874 1
N1 0.0000 0.5000 0.0000 1
N2 0.1510 0.0000 0.9070 1
N3 0.1623 0.5000 0.5620 1
# E_form (uncorrected)   -1196 meV per atom
# Mass density   6.6 g/cm³
# Distance to the lowest polymorph of the same formula   0.000 eV per atom
# N(E_F)   2.96 states/eV/cell

---

# Li2IrCl4, optimized geometry, DFT PBE
data_Li2IrCl4
_chemical_formula_sum 'Li4 Ir2 Cl8'
_symmetry_space_group_name_H-M 'I -4 2 m'
_symmetry_Int_Tables_number 121
_symmetry_space_group_name_Hall 'I -4 2'
_cell_length_a 6.4605
_cell_length_b 6.4605
_cell_length_c 7.2905
_cell_angle_alpha 90.00
_cell_angle_beta 90.00
_cell_angle_gamma 90.00
loop_
_atom_site_label
_atom_site_fract_x
_atom_site_fract_y
_atom_site_fract_z
_atom_site_occupancy
Li1 0.0000 0.5000 0.2500 1
Ir1 0.0000 0.0000 0.0000 1
Cl1 0.2480 0.2480 0.0634 1
# E_form (uncorrected)   -863 meV per atom
# Mass density   3.8 g/cm³
# N(E_F)   9.98 states/eV/cell

---

# SrCa2PaSb4, optimized geometry, DFT PBE
data_SrCa2PaSb4
_chemical_formula_sum 'Sr1 Ca2 Pa1 Sb4'
_symmetry_space_group_name_H-M 'P 1 2/m 1'
_symmetry_Int_Tables_number 10
_cell_length_a 7.7374
_cell_length_b 4.6463
_cell_length_c 7.9085
_cell_angle_alpha 90.00
_cell_angle_beta 110.95
_cell_angle_gamma 90.00
loop_
_symmetry_equiv_pos_as_xyz
'x,y,z'
'-x,-y,-z'
'-x,y,-z'
'x,-y,z'
loop_
_atom_site_label
_atom_site_fract_x
_atom_site_fract_y
_atom_site_fract_z
_atom_site_occupancy
Sr1 0.0000 0.0000 0.0000 1
Ca1 0.5000 0.0000 0.5000 1
Ca2 0.5000 0.5000 0.0000 1
Pa1 0.0000 0.5000 0.5000 1
Sb1 0.2363 0.0000 0.7287 1
Sb2 0.2476 0.5000 0.2725 1
# E_form (uncorrected)   -782 meV per atom
# Mass density   5.5 g/cm³
# N(E_F)   7.13 states/eV/cell

---

# La2YSe, optimized geometry, DFT PBE
data_La2YSe
_chemical_formula_sum 'La6 Y3 Se3'
_symmetry_space_group_name_H-M 'R -3 m'
_symmetry_Int_Tables_number 166
_symmetry_space_group_name_Hall '-R 3 2"'
_cell_length_a 3.9862
_cell_length_b 3.9862
_cell_length_c 29.4542
_cell_angle_alpha 90.00
_cell_angle_beta 90.00
_cell_angle_gamma 120.00
loop_
_atom_site_label
_atom_site_fract_x
_atom_site_fract_y
_atom_site_fract_z
_atom_site_occupancy
La1 0.0000 0.0000 0.2337 1
Y1 0.0000 0.0000 0.0000 1
Se1 0.0000 0.0000 0.5000 1
# E_form (uncorrected)   -799 meV per atom
# Mass density   5.5 g/cm³
# N(E_F)   15.42 states/eV/cell

---

# CeTh2Te3, optimized geometry, DFT PBE
data_CeTh2Te3
_chemical_formula_sum 'Ce2 Th4 Te6'
_symmetry_space_group_name_H-M 'I 4/m m m'
_symmetry_Int_Tables_number 139
_symmetry_space_group_name_Hall '-I 4 2'
_cell_length_a 4.4682
_cell_length_b 4.4682
_cell_length_c 18.9577
_cell_angle_alpha 90.00
_cell_angle_beta 90.00
_cell_angle_gamma 90.00
loop_
_atom_site_label
_atom_site_fract_x
_atom_site_fract_y
_atom_site_fract_z
_atom_site_occupancy
Ce1 0.0000 0.0000 0.0000 1
Th1 0.0000 0.0000 0.3320 1
Te1 0.0000 0.0000 0.1655 1
Te2 0.0000 0.0000 0.5000 1
# E_form (uncorrected)   -1133 meV per atom
# Mass density   8.7 g/cm³
# Distance to the lowest polymorph of the same formula   0.000 eV per atom
# N(E_F)   20.58 states/eV/cell

---

# Zn2Ni2Sn, optimized geometry, DFT PBE
data_Zn2Ni2Sn
_chemical_formula_sum 'Zn4 Ni4 Sn2'
_symmetry_space_group_name_H-M 'P 4/m b m'
_symmetry_Int_Tables_number 127
_symmetry_space_group_name_Hall '-P 4 2ab'
_cell_length_a 7.0730
_cell_length_b 7.0730
_cell_length_c 2.9131
_cell_angle_alpha 90.00
_cell_angle_beta 90.00
_cell_angle_gamma 90.00
loop_
_atom_site_label
_atom_site_fract_x
_atom_site_fract_y
_atom_site_fract_z
_atom_site_occupancy
Zn1 0.1262 0.3738 0.0000 1
Ni1 0.1669 0.6669 0.5000 1
Sn1 0.0000 0.0000 0.0000 1
# Formation energy   -0.035 eV/atom
# Mass density   8.4 g/cm³
# N(E_F)   4.03 states/eV/cell

---

# Te2PBr, optimized geometry, DFT PBE
data_Te2PBr
_chemical_formula_sum 'Te4 P2 Br2'
_symmetry_space_group_name_H-M 'C 1 2/m 1'
_symmetry_Int_Tables_number 12
_cell_length_a 6.8735
_cell_length_b 3.7740
_cell_length_c 8.5060
_cell_angle_alpha 90.00
_cell_angle_beta 91.51
_cell_angle_gamma 90.00
loop_
_symmetry_equiv_pos_as_xyz
'x,y,z'
'-x,-y,-z'
'-x,y,-z'
'x,-y,z'
'x+1/2,y+1/2,z'
'-x+1/2,-y+1/2,-z'
'-x+1/2,y+1/2,-z'
'x+1/2,-y+1/2,z'
loop_
_atom_site_label
_atom_site_fract_x
_atom_site_fract_y
_atom_site_fract_z
_atom_site_occupancy
Te1 0.1821 0.0000 0.1978 1
P1 0.0000 0.5000 0.0000 1
Br1 0.0000 0.0000 0.5000 1
# E_form (uncorrected)   114 meV per atom
# Mass density   5.5 g/cm³
# Distance to the lowest polymorph of the same formula   0.029 eV per atom
# N(E_F)   4.75 states/eV/cell

---

# SrTaIr, optimized geometry, DFT PBE
data_SrTaIr
_chemical_formula_sum 'Sr4 Ta4 Ir4'
_symmetry_space_group_name_H-M 'F -4 3 m'
_symmetry_Int_Tables_number 216
_symmetry_space_group_name_Hall 'F -4 2 3'
_cell_length_a 6.6257
_cell_length_b 6.6257
_cell_length_c 6.6257
_cell_angle_alpha 90.00
_cell_angle_beta 90.00
_cell_angle_gamma 90.00
loop_
_atom_site_label
_atom_site_fract_x
_atom_site_fract_y
_atom_site_fract_z
_atom_site_occupancy
Sr1 0.0000 0.0000 0.0000 1
Ta1 0.0000 0.0000 0.5000 1
Ir1 0.2500 0.2500 0.2500 1
# Formation energy   0.552 eV/atom
# Mass density   10.5 g/cm³
# Distance to the lowest polymorph of the same formula   0.930 eV per atom
# N(E_F)   16.22 states/eV/cell

---

# PrCu6Ge2, optimized geometry, DFT PBE
data_PrCu6Ge2
_chemical_formula_sum 'Pr1 Cu6 Ge2'
_symmetry_space_group_name_H-M 'P 4/m m m'
_symmetry_Int_Tables_number 123
_symmetry_space_group_name_Hall '-P 4 2'
_cell_length_a 4.1751
_cell_length_b 4.1751
_cell_length_c 7.9599
_cell_angle_alpha 90.00
_cell_angle_beta 90.00
_cell_angle_gamma 90.00
loop_
_atom_site_label
_atom_site_fract_x
_atom_site_fract_y
_atom_site_fract_z
_atom_site_occupancy
Pr1 0.0000 0.0000 0.0000 1
Cu1 0.0000 0.0000 0.5000 1
Cu2 0.0000 0.5000 0.3219 1
Cu3 0.5000 0.5000 0.5000 1
Ge1 0.5000 0.5000 0.1605 1
# Formation energy   -0.244 eV/atom
# Mass density   8.0 g/cm³
# N(E_F)   4.47 states/eV/cell